Computed, not measured: an optimized crystal structure of AcFeGe at the PBE level of DFT.

abc: 7.1616 7.1616 7.1616
angles: 90.00 90.00 90.00
With the nearest neighbours (Å) after each atom.
Space group F-43m (No. 216)
Unique sites:
Ac: 0.0000 0.0000 0.0000 (multiplicity 4)  4 Ge 3.10, 4 Fe 3.10
Fe: 0.2500 0.2500 0.7500 (multiplicity 4)  4 Ac 3.10
Ge: 0.2500 0.2500 0.2500 (multiplicity 4)  4 Ac 3.10

* size of the total moment: 1.07 μB per atom
* ΔE to the lowest computed polymorph: 751.5 meV/atom
* crystal system: cubic